Entry 1:
# Ca2Ga2Br7, relaxed, DFT PBE
data_Ca2Ga2Br7
_chemical_formula_sum 'Ca2 Ga2 Br7'
_space_group_name_H-M_alt 'P 1'
_space_group_IT_number 1
_cell_length_a 10.531
_cell_length_b 7.428
_cell_length_c 7.428
_cell_angle_alpha 116.20
_cell_angle_beta 87.15
_cell_angle_gamma 87.15
loop_
_space_group_symop_operation_xyz
'x,y,z'
loop_
_atom_site_label
_atom_site_fract_x
_atom_site_fract_y
_atom_site_fract_z
_atom_site_occupancy
Br1 0.849 0.657 0.003 1
Ca1 0.000 0.669 0.331 1
Ga1 0.698 0.766 0.766 1
Ca2 0.000 0.331 0.669 1
Br2 0.174 0.579 0.579 1
Br3 0.826 0.421 0.421 1
Br4 0.151 0.343 0.997 1
Ga2 0.302 0.234 0.234 1
Br5 0.151 0.997 0.343 1
Br6 0.500 0.000 0.000 1
Br7 0.849 0.003 0.657 1
# **Magnetization**: 0.00 μB per atom
# **Raw total energy**: -3.277 eV per atom
# **SG**: No. 12

---

Entry 2:
# CaGaBr2, relaxed, DFT PBE
data_CaGaBr2
_chemical_formula_sum 'Ca1 Ga1 Br2'
_space_group_name_H-M_alt 'P 1'
_space_group_IT_number 1
_cell_length_a 9.493
_cell_length_b 9.493
_cell_length_c 9.493
_cell_angle_alpha 27.06
_cell_angle_beta 27.06
_cell_angle_gamma 27.06
loop_
_space_group_symop_operation_xyz
'x,y,z'
loop_
_atom_site_label
_atom_site_fract_x
_atom_site_fract_y
_atom_site_fract_z
_atom_site_occupancy
Br1 0.101 0.101 0.101 1
Ga1 0.500 0.500 0.500 1
Ca1 0.000 0.000 0.000 1
Br2 0.899 0.899 0.899 1
# **Magnetization**: 0.00 μB per atom
# **Distance to the lowest polymorph of the same formula**: 337 meV/atom
# **Raw total energy**: -2.905 eV per atom
# **SG**: No. 166